First-principles (PBE) data for an optimized crystal structure of LaBeGa2Si, as listed in Alexandria via LeMat-Bulk.

Properties
**Energy relative to the elements, uncorrected**: -0.11 eV per atom
**Symmetry**: No. 123

```
5
Lattice="-3.4366 1.5888 -2.5522 -2.7009 0.2074 3.7659 1.4038 4.2758 0.7714" Properties=species:S:1:pos:R:3 pbc="T T T"
Ga 0.7019 2.1379 0.3857
Ga -1.7183 0.7944 -1.2761
La -2.3668 3.0360 0.9925
Be 0.0000 0.0000 0.0000
Si -1.3505 0.1037 1.8830
```